No. 1
DFT (PBE) results for a relaxed structure of SnHg2Te2Se.

a b c (Å): 13.379 8.976 7.441
angles (deg): 90.00 90.00 90.00
Space group Cmc2_1 (No. 36)
Inequivalent atoms, fractional coordinates:
Sn 0.000 0.164 0.000 [4 per cell]
Hg 0.167 0.326 0.502 [8 per cell]
Te 0.170 0.361 0.886 [8 per cell]
Se 0.000 0.200 0.367 [4 per cell]

Computed properties:
* DFT total energy: -2.55 eV/atom
* E_form (uncorrected): -149 meV per atom
* volume: 37.236 A^3/atom

No. 2
DFT (PBE) results for a relaxed structure of NdHo3Er2Se6.

a b c (Å): 7.043 12.260 7.069
angles (deg): 90.00 109.42 90.00
Space group C2/m (No. 12)
Inequivalent atoms, fractional coordinates:
Nd 0.000 0.000 0.000 [2 per cell]
Ho 0.000 0.158 0.500 [4 per cell]
Ho 0.000 0.500 0.500 [2 per cell]
Er 0.000 0.335 0.000 [4 per cell]
Se 0.238 0.500 0.250 [4 per cell]
Se 0.242 0.327 0.744 [8 per cell]

Computed properties:
* DFT total energy: -5.78 eV/atom
* E_form (uncorrected): -1733 meV per atom
* volume: 23.986 A^3/atom

No. 3
DFT (PBE) results for a relaxed structure of LaTeH.

a b c (Å): 17.263 4.296 4.286
angles (deg): 90.00 90.00 90.00
Space group Pnma (No. 62)
Inequivalent atoms, fractional coordinates:
La 0.180 0.250 0.017 [4 per cell]
Te 0.110 0.750 0.517 [4 per cell]
H 0.250 0.250 0.517 [4 per cell]

Computed properties:
* DFT total energy: -4.97 eV/atom
* volume: 26.488 A^3/atom

No. 4
DFT (PBE) results for a relaxed structure of Nb4C2S5.

a b c (Å): 3.351 6.861 15.050
angles (deg): 90.00 90.00 90.00
Space group Immm (No. 71)
Inequivalent atoms, fractional coordinates:
Nb 0.000 0.000 0.193 [4 per cell]
Nb 0.000 0.293 0.500 [4 per cell]
C 0.000 0.000 0.047 [4 per cell]
S 0.000 0.230 0.332 [8 per cell]
S 0.000 0.500 0.000 [2 per cell]

Computed properties:
* DFT total energy: -7.76 eV/atom
* E_form (uncorrected): -547 meV per atom
* volume: 15.727 A^3/atom

No. 5
DFT (PBE) results for a relaxed structure of BeSi2S6.

a b c (Å): 10.169 12.300 6.260
angles (deg): 90.00 109.13 90.00
Space group C2/c (No. 15)
Inequivalent atoms, fractional coordinates:
Be 0.000 0.198 0.250 [4 per cell]
Si 0.214 0.432 0.385 [8 per cell]
S 0.054 0.080 0.541 [8 per cell]
S 0.149 0.426 0.680 [8 per cell]
S 0.161 0.288 0.203 [8 per cell]

Computed properties:
* DFT total energy: -4.81 eV/atom
* E_form (uncorrected): -437 meV per atom
* volume: 20.548 A^3/atom

No. 6
DFT (PBE) results for a relaxed structure of Y2Ga3Ni2.

a b c (Å): 10.154 4.047 6.822
angles (deg): 90.00 116.62 90.00
Space group C2/m (No. 12)
Inequivalent atoms, fractional coordinates:
Y 0.143 0.000 0.277 [4 per cell]
Ga 0.000 0.500 0.500 [2 per cell]
Ga 0.136 0.500 0.943 [4 per cell]
Ni 0.134 0.000 0.709 [4 per cell]

Computed properties:
* DFT total energy: -5.40 eV/atom
* energy of formation from the pure elements: -0.602 eV/atom
* volume: 17.902 A^3/atom

No. 7
DFT (PBE) results for a relaxed structure of RbYI2N.

a b c (Å): 6.370 6.370 4.359
angles (deg): 90.00 90.00 90.00
Space group P4/mmm (No. 123)
Inequivalent atoms, fractional coordinates:
Rb 0.000 0.000 0.000 [1 per cell]
Y 0.500 0.500 0.500 [1 per cell]
I 0.000 0.500 0.000 [2 per cell]
N 0.000 0.000 0.500 [1 per cell]

Computed properties:
* DFT total energy: -3.00 eV/atom
* E_form (uncorrected): 775 meV per atom
* volume: 35.381 A^3/atom
* relative energy among the computed polymorphs: 1589 meV per atom

No. 8
DFT (PBE) results for a relaxed structure of Tl2SnCl5.

a b c (Å): 7.640 7.640 9.728
angles (deg): 90.00 90.00 90.00
Space group I4mm (No. 107)
Inequivalent atoms, fractional coordinates:
Tl 0.000 0.500 0.000 [4 per cell]
Sn 0.000 0.000 0.208 [2 per cell]
Cl 0.000 0.000 0.455 [2 per cell]
Cl 0.240 0.240 0.183 [8 per cell]

Computed properties:
* DFT total energy: -3.17 eV/atom
* E_form (uncorrected): -924 meV per atom
* volume: 35.488 A^3/atom

No. 9
DFT (PBE) results for a relaxed structure of LaYCoAu.

a b c (Å): 7.176 7.176 7.176
angles (deg): 90.00 90.00 90.00
Space group F-43m (No. 216)
Inequivalent atoms, fractional coordinates:
La 0.000 0.000 0.000 [4 per cell]
Y 0.000 0.000 0.500 [4 per cell]
Co 0.250 0.250 0.750 [4 per cell]
Au 0.250 0.250 0.250 [4 per cell]

Computed properties:
* DFT total energy: -5.79 eV/atom
* energy of formation from the pure elements: -0.350 eV/atom
* volume: 23.091 A^3/atom

No. 10
DFT (PBE) results for a relaxed structure of Pm5DyTm2Th.

a b c (Å): 5.619 20.391 10.595
angles (deg): 90.00 90.00 90.00
Space group Cmc2_1 (No. 36)
Inequivalent atoms, fractional coordinates:
Pm 0.000 0.014 0.000 [4 per cell]
Pm 0.000 0.277 0.293 [4 per cell]
Pm 0.000 0.293 0.685 [4 per cell]
Pm 0.000 0.386 0.006 [4 per cell]
Pm 0.000 0.481 0.725 [4 per cell]
Dy 0.000 0.406 0.438 [4 per cell]
Tm 0.000 0.112 0.721 [4 per cell]
Tm 0.000 0.115 0.291 [4 per cell]
Th 0.000 0.199 0.992 [4 per cell]

Computed properties:
* DFT total energy: -4.81 eV/atom
* energy of formation from the pure elements: 0.158 eV/atom
* volume: 33.720 A^3/atom

No. 11
DFT (PBE) results for a relaxed structure of NaAlAu.

a b c (Å): 3.383 3.383 11.157
angles (deg): 90.00 90.00 90.00
Space group I4mm (No. 107)
Inequivalent atoms, fractional coordinates:
Na 0.000 0.000 0.000 [2 per cell]
Al 0.000 0.000 0.293 [2 per cell]
Au 0.000 0.000 0.694 [2 per cell]

Computed properties:
* DFT total energy: -2.99 eV/atom
* energy of formation from the pure elements: -0.207 eV/atom
* volume: 21.282 A^3/atom

No. 12
DFT (PBE) results for a relaxed structure of CrMoOs.

a b c (Å): 2.734 3.799 8.187
angles (deg): 90.00 90.00 90.00
Space group Imm2 (No. 44)
Inequivalent atoms, fractional coordinates:
Cr 0.000 0.000 0.000 [2 per cell]
Mo 0.000 0.000 0.672 [2 per cell]
Os 0.000 0.000 0.347 [2 per cell]

Computed properties:
* DFT total energy: -10.37 eV/atom
* energy of formation from the pure elements: 0.190 eV/atom
* volume: 14.174 A^3/atom
* relative energy among the computed polymorphs: 46 meV per atom